## Li7Mn2Co3O12 (PBE with a Hubbard U)

Data for a relaxed Li7Mn2Co3O12 crystal.

Results
Spin magnetization in μB/cell: 20.0
Excess energy over the best structure of this formula in the dataset in eV/f.u.: 3.441
Total DFT energy (no corrections) in eV per cell: -276.17

abc: 15.244 2.887 10.236
angles: 90.00 109.12 90.00
Space group C2/m (No. 12)
Inequivalent atoms, fractional coordinates:
Li1 0.000 0.000 0.000 (multiplicity 2)
Li2 0.004 0.500 0.242 (multiplicity 4)
Li3 0.163 0.000 0.745 (multiplicity 4)
Li4 0.165 0.000 0.247 (multiplicity 4)
Mn1 0.163 0.500 0.003 (multiplicity 4)
Co1 0.000 0.000 0.500 (multiplicity 2)
Co2 0.167 0.500 0.498 (multiplicity 4)
O1 0.079 0.500 0.615 (multiplicity 4)
O2 0.086 0.000 0.380 (multiplicity 4)
O3 0.093 0.500 0.114 (multiplicity 4)
O4 0.094 0.000 0.889 (multiplicity 4)
O5 0.246 0.000 0.106 (multiplicity 4)
O6 0.246 0.000 0.617 (multiplicity 4)